(1)
Ca2CuHg2 | PBE | optimized geometry

Calculated values
- Volume: 260 Å³ per cell
- ΔH_f (0 K): -24.9 kJ per mole of atoms
- Space-group type: P4/mbm, No. 127
- Relative energy among the computed polymorphs: 0.000 eV/atom

CIF file:
```
data_Ca2CuHg2
_chemical_formula_sum 'Ca4 Cu2 Hg4'
_cell_length_a 7.5435
_cell_length_b 7.5435
_cell_length_c 4.5709
_cell_angle_alpha 90.00
_cell_angle_beta 90.00
_cell_angle_gamma 90.00
_space_group_name_H-M_alt 'P 1'
_space_group_IT_number 1
_space_group_name_Hall 'P 1'
loop_
_atom_site_label
_atom_site_fract_x
_atom_site_fract_y
_atom_site_fract_z
Hg1 0.3590 0.8590 0.0000
Cu1 0.5000 0.5000 0.0000
Hg2 0.1410 0.3590 0.0000
Hg3 0.8590 0.6410 0.0000
Ca1 0.1698 0.6698 0.5000
Cu2 0.0000 0.0000 0.0000
Ca2 0.8302 0.3302 0.5000
Ca3 0.6698 0.8302 0.5000
Hg4 0.6410 0.1410 0.0000
Ca4 0.3302 0.1698 0.5000
```

(2)
BiTePd4 | PBE | optimized geometry

Calculated values
- Volume: 244 Å³ per cell
- Space-group type: Cmcm, No. 63
- Formation energy without anion corrections: -0.122 eV/atom
- Relative energy among the computed polymorphs: 0.111 eV/atom

CIF file:
```
data_BiTePd4
_chemical_formula_sum 'Bi2 Te2 Pd8'
_cell_length_a 4.7144
_cell_length_b 7.3976
_cell_length_c 7.3775
_cell_angle_alpha 90.00
_cell_angle_beta 108.63
_cell_angle_gamma 90.00
_space_group_name_H-M_alt 'P 1'
_space_group_IT_number 1
_space_group_name_Hall 'P 1'
loop_
_atom_site_label
_atom_site_fract_x
_atom_site_fract_y
_atom_site_fract_z
Pd1 0.4256 0.2500 0.8513
Pd2 0.7865 0.9277 0.5730
Pd3 0.7865 0.5723 0.5730
Bi1 0.3815 0.7500 0.7629
Pd4 0.0000 0.5000 0.0000
Pd5 0.2135 0.0723 0.4270
Bi2 0.6185 0.2500 0.2371
Te1 0.8579 0.2500 0.7158
Pd6 0.0000 0.0000 0.0000
Pd7 0.5744 0.7500 0.1487
Pd8 0.2135 0.4277 0.4270
Te2 0.1421 0.7500 0.2842
```

(3)
Tl3GeOs | PBE | optimized geometry

Calculated values
- Volume: 150 Å³ per cell
- ΔH_f (0 K): 76.7 kJ per mole of atoms
- Space-group type: Pm-3m, No. 221
- Relative energy among the computed polymorphs: 0.000 eV/atom

CIF file:
```
data_Tl3GeOs
_chemical_formula_sum 'Tl3 Ge1 Os1'
_cell_length_a 5.3103
_cell_length_b 5.3103
_cell_length_c 5.3103
_cell_angle_alpha 90.00
_cell_angle_beta 90.00
_cell_angle_gamma 90.00
_space_group_name_H-M_alt 'P 1'
_space_group_IT_number 1
_space_group_name_Hall 'P 1'
loop_
_atom_site_label
_atom_site_fract_x
_atom_site_fract_y
_atom_site_fract_z
Os1 0.0000 0.0000 0.0000
Tl1 0.0000 0.0000 0.5000
Tl2 0.5000 0.0000 0.0000
Ge1 0.5000 0.5000 0.5000
Tl3 0.0000 0.5000 0.0000
```

(4)
Nd6SmSn4 | PBE | optimized geometry

Calculated values
- Volume: 395 Å³ per cell
- ΔH_f (0 K): -35.9 kJ per mole of atoms
- Space-group type: I-42m, No. 121

CIF file:
```
data_Nd6SmSn4
_chemical_formula_sum 'Nd6 Sm1 Sn4'
_cell_length_a 8.3096
_cell_length_b 8.3096
_cell_length_c 8.3096
_cell_angle_alpha 87.11
_cell_angle_beta 121.68
_cell_angle_gamma 121.68
_space_group_name_H-M_alt 'P 1'
_space_group_IT_number 1
_space_group_name_Hall 'P 1'
loop_
_atom_site_label
_atom_site_fract_x
_atom_site_fract_y
_atom_site_fract_z
Nd1 0.0000 0.5067 0.8240
Nd2 0.0000 0.8240 0.5067
Sn1 0.0000 0.6295 0.1736
Sn2 0.0000 0.1736 0.6295
Sm1 0.0000 0.0000 0.0000
Sn3 0.5440 0.3705 0.3705
Nd3 0.3174 0.4933 0.4933
Sn4 0.4560 0.8264 0.8264
Nd4 0.5000 0.0000 0.5000
Nd5 0.5000 0.5000 0.0000
Nd6 0.6826 0.1760 0.1760
```

(5)
Dy5YZn6 | PBE | optimized geometry

Calculated values
- Volume: 273 Å³ per cell
- ΔH_f (0 K): -33.1 kJ per mole of atoms
- Space-group type: Cmmm, No. 65

CIF file:
```
data_Dy5YZn6
_chemical_formula_sum 'Dy5 Y1 Zn6'
_cell_length_a 5.0410
_cell_length_b 7.1644
_cell_length_c 7.9712
_cell_angle_alpha 90.00
_cell_angle_beta 71.57
_cell_angle_gamma 90.00
_space_group_name_H-M_alt 'P 1'
_space_group_IT_number 1
_space_group_name_Hall 'P 1'
loop_
_atom_site_label
_atom_site_fract_x
_atom_site_fract_y
_atom_site_fract_z
Dy1 0.3334 0.5000 0.3331
Dy2 0.6666 0.5000 0.6669
Dy3 0.0000 0.5000 0.0000
Zn1 0.1670 0.2507 0.6659
Zn2 0.8330 0.7493 0.3341
Dy4 0.6669 0.0000 0.6662
Zn3 0.5000 0.7494 0.0000
Zn4 0.1671 0.7493 0.6659
Dy5 0.3331 0.0000 0.3338
Y1 0.0000 0.0000 0.0000
Zn5 0.5000 0.2506 0.0000
Zn6 0.8329 0.2507 0.3341
```

(6)
Ga3HgBr3 | PBE | optimized geometry

Calculated values
- Volume: 481 Å³ per cell
- Space-group type: P-1, No. 2
- Formation energy without anion corrections: -0.412 eV/atom
- Relative energy among the computed polymorphs: 0.000 eV/atom

CIF file:
```
data_Ga3HgBr3
_chemical_formula_sum 'Ga6 Hg2 Br6'
_cell_length_a 11.1407
_cell_length_b 11.0752
_cell_length_c 11.0552
_cell_angle_alpha 38.86
_cell_angle_beta 38.70
_cell_angle_gamma 38.73
_space_group_name_H-M_alt 'P 1'
_space_group_IT_number 1
_space_group_name_Hall 'P 1'
loop_
_atom_site_label
_atom_site_fract_x
_atom_site_fract_y
_atom_site_fract_z
Hg1 0.6673 0.6666 0.6661
Br1 0.0985 0.7560 0.4652
Ga1 0.7259 0.0613 0.3930
Hg2 0.3327 0.3334 0.3339
Ga2 0.2741 0.9387 0.6070
Br2 0.7460 0.4632 0.1108
Ga3 0.9448 0.6080 0.2666
Br3 0.4535 0.1081 0.7582
Br4 0.2540 0.5368 0.8892
Ga4 0.0552 0.3920 0.7334
Ga5 0.6136 0.2684 0.9376
Ga6 0.3864 0.7316 0.0624
Br5 0.5465 0.8919 0.2418
Br6 0.9015 0.2440 0.5348
```

| no. | calculated density (g/cm³) |
| --- | --- |
| 1 | 6.957 |
| 2 | 10.383 |
| 3 | 9.714 |
| 4 | 6.269 |
| 5 | 7.867 |
| 6 | 4.488 |